[1]
Compound: LaEuDyHg
Source: Alexandria via LeMat-Bulk
Functional: PBE-GGA
Structure: optimized geometry

- total DFT energy (no corrections) (eV/atom) = -5.097
- total moment (μB per formula unit) = 7.5

CIF file:
```
data_LaEuDyHg
_symmetry_space_group_name_H-M 'F -4 3 m'
_symmetry_Int_Tables_number 216
_symmetry_space_group_name_Hall 'F -4 2 3'
_cell_length_a 7.8769
_cell_length_b 7.8769
_cell_length_c 7.8769
_cell_angle_alpha 90.00
_cell_angle_beta 90.00
_cell_angle_gamma 90.00
loop_
_atom_site_label
_atom_site_type_symbol
_atom_site_fract_x
_atom_site_fract_y
_atom_site_fract_z
_atom_site_occupancy
La1 La 0.0000 0.0000 0.0000 1
Eu1 Eu 0.2500 0.2500 0.2500 1
Dy1 Dy 0.0000 0.0000 0.5000 1
Hg1 Hg 0.2500 0.2500 0.7500 1
```

=====

[2]
Compound: LiEuDyHg
Source: Alexandria via LeMat-Bulk
Functional: PBE-GGA
Structure: optimized geometry

- total DFT energy (no corrections) (eV/atom) = -4.476
- total moment (μB per formula unit) = 7.2

CIF file:
```
data_LiEuDyHg
_symmetry_space_group_name_H-M 'F -4 3 m'
_symmetry_Int_Tables_number 216
_symmetry_space_group_name_Hall 'F -4 2 3'
_cell_length_a 7.5731
_cell_length_b 7.5731
_cell_length_c 7.5731
_cell_angle_alpha 90.00
_cell_angle_beta 90.00
_cell_angle_gamma 90.00
loop_
_atom_site_label
_atom_site_type_symbol
_atom_site_fract_x
_atom_site_fract_y
_atom_site_fract_z
_atom_site_occupancy
Li1 Li 0.0000 0.0000 0.0000 1
Eu1 Eu 0.2500 0.2500 0.2500 1
Dy1 Dy 0.2500 0.2500 0.7500 1
Hg1 Hg 0.0000 0.0000 0.5000 1
```

=====

[3]
Compound: EuDyMgHg
Source: Alexandria via LeMat-Bulk
Functional: PBE-GGA
Structure: optimized geometry

- total DFT energy (no corrections) (eV/atom) = -4.445
- total moment (μB per formula unit) = 7.0

CIF file:
```
data_EuDyMgHg
_symmetry_space_group_name_H-M 'F -4 3 m'
_symmetry_Int_Tables_number 216
_symmetry_space_group_name_Hall 'F -4 2 3'
_cell_length_a 7.6586
_cell_length_b 7.6586
_cell_length_c 7.6586
_cell_angle_alpha 90.00
_cell_angle_beta 90.00
_cell_angle_gamma 90.00
loop_
_atom_site_label
_atom_site_type_symbol
_atom_site_fract_x
_atom_site_fract_y
_atom_site_fract_z
_atom_site_occupancy
Eu1 Eu 0.0000 0.0000 0.0000 1
Dy1 Dy 0.0000 0.0000 0.5000 1
Mg1 Mg 0.2500 0.2500 0.7500 1
Hg1 Hg 0.2500 0.2500 0.2500 1
```

=====

[4]
Compound: NaEuDyHg
Source: Alexandria via LeMat-Bulk
Functional: PBE-GGA
Structure: optimized geometry

- total DFT energy (no corrections) (eV/atom) = -4.208
- total moment (μB per formula unit) = 7.2

CIF file:
```
data_NaEuDyHg
_symmetry_space_group_name_H-M 'F -4 3 m'
_symmetry_Int_Tables_number 216
_symmetry_space_group_name_Hall 'F -4 2 3'
_cell_length_a 7.7653
_cell_length_b 7.7653
_cell_length_c 7.7653
_cell_angle_alpha 90.00
_cell_angle_beta 90.00
_cell_angle_gamma 90.00
loop_
_atom_site_label
_atom_site_type_symbol
_atom_site_fract_x
_atom_site_fract_y
_atom_site_fract_z
_atom_site_occupancy
Na1 Na 0.0000 0.0000 0.0000 1
Eu1 Eu 0.2500 0.2500 0.7500 1
Dy1 Dy 0.2500 0.2500 0.2500 1
Hg1 Hg 0.0000 0.0000 0.5000 1
```

=====

[5]
Compound: EuDyNiHg
Source: Alexandria via LeMat-Bulk
Functional: PBE-GGA
Structure: optimized geometry

- total DFT energy (no corrections) (eV/atom) = -5.496
- total moment (μB per formula unit) = 7.0

CIF file:
```
data_EuDyNiHg
_symmetry_space_group_name_H-M 'F -4 3 m'
_symmetry_Int_Tables_number 216
_symmetry_space_group_name_Hall 'F -4 2 3'
_cell_length_a 7.2650
_cell_length_b 7.2650
_cell_length_c 7.2650
_cell_angle_alpha 90.00
_cell_angle_beta 90.00
_cell_angle_gamma 90.00
loop_
_atom_site_label
_atom_site_type_symbol
_atom_site_fract_x
_atom_site_fract_y
_atom_site_fract_z
_atom_site_occupancy
Eu1 Eu 0.0000 0.0000 0.0000 1
Dy1 Dy 0.0000 0.0000 0.5000 1
Ni1 Ni 0.2500 0.2500 0.7500 1
Hg1 Hg 0.2500 0.2500 0.2500 1
```

=====

[6]
Compound: PmEuDyHg
Source: Alexandria via LeMat-Bulk
Functional: PBE-GGA
Structure: optimized geometry

- total DFT energy (no corrections) (eV/atom) = -4.987
- total moment (μB per formula unit) = 9.0

CIF file:
```
data_PmEuDyHg
_symmetry_space_group_name_H-M 'F -4 3 m'
_symmetry_Int_Tables_number 216
_symmetry_space_group_name_Hall 'F -4 2 3'
_cell_length_a 7.8031
_cell_length_b 7.8031
_cell_length_c 7.8031
_cell_angle_alpha 90.00
_cell_angle_beta 90.00
_cell_angle_gamma 90.00
loop_
_atom_site_label
_atom_site_type_symbol
_atom_site_fract_x
_atom_site_fract_y
_atom_site_fract_z
_atom_site_occupancy
Pm1 Pm 0.0000 0.0000 0.0000 1
Eu1 Eu 0.2500 0.2500 0.7500 1
Dy1 Dy 0.2500 0.2500 0.2500 1
Hg1 Hg 0.0000 0.0000 0.5000 1
```

=====

[7]
Compound: EuDyHgRu
Source: Alexandria via LeMat-Bulk
Functional: PBE-GGA
Structure: optimized geometry

- total DFT energy (no corrections) (eV/atom) = -6.302
- total moment (μB per formula unit) = 6.9

CIF file:
```
data_EuDyHgRu
_symmetry_space_group_name_H-M 'F -4 3 m'
_symmetry_Int_Tables_number 216
_symmetry_space_group_name_Hall 'F -4 2 3'
_cell_length_a 7.2063
_cell_length_b 7.2063
_cell_length_c 7.2063
_cell_angle_alpha 90.00
_cell_angle_beta 90.00
_cell_angle_gamma 90.00
loop_
_atom_site_label
_atom_site_type_symbol
_atom_site_fract_x
_atom_site_fract_y
_atom_site_fract_z
_atom_site_occupancy
Eu1 Eu 0.0000 0.0000 0.0000 1
Dy1 Dy 0.0000 0.0000 0.5000 1
Hg1 Hg 0.2500 0.2500 0.7500 1
Ru1 Ru 0.2500 0.2500 0.2500 1
```

=====

[8]
Compound: EuDyHgSb
Source: Alexandria via LeMat-Bulk
Functional: PBE-GGA
Structure: optimized geometry

- total DFT energy (no corrections) (eV/atom) = -5.466
- total moment (μB per formula unit) = 7.8
- E_form (uncorrected) (eV/atom) = -0.641

CIF file:
```
data_EuDyHgSb
_symmetry_space_group_name_H-M 'F -4 3 m'
_symmetry_Int_Tables_number 216
_symmetry_space_group_name_Hall 'F -4 2 3'
_cell_length_a 7.6370
_cell_length_b 7.6370
_cell_length_c 7.6370
_cell_angle_alpha 90.00
_cell_angle_beta 90.00
_cell_angle_gamma 90.00
loop_
_atom_site_label
_atom_site_type_symbol
_atom_site_fract_x
_atom_site_fract_y
_atom_site_fract_z
_atom_site_occupancy
Eu1 Eu 0.0000 0.0000 0.0000 1
Dy1 Dy 0.0000 0.0000 0.5000 1
Hg1 Hg 0.2500 0.2500 0.2500 1
Sb1 Sb 0.2500 0.2500 0.7500 1
```

=====

no.,DOS(E_F) (states/eV/cell)
1,22.1
2,23.6
3,30.3
4,30.9
5,35.1
6,22.6
7,21.2
8,16.8